The following is a PBE-GGA calculation of an optimized crystal structure of LiPr2In3, from the Alexandria database.

Properties
Formation energy from the elements = -0.439 eV/atom
Excess energy over the best structure of this formula in the dataset = 13 meV/atom
Size of the total moment = 0.00 μB per cell

Cell: 6.175 6.175 9.357 Å, 90.00 90.00 120.00°
Fractional coordinates of all 12 atoms:
1 Li 0.000 0.000 0.000
2 Li 0.000 0.000 0.500
3 In 0.169 0.337 0.250
4 In 0.831 0.169 0.750
5 In 0.169 0.831 0.250
6 Pr 0.333 0.667 0.574
7 Pr 0.667 0.333 0.074
8 In 0.337 0.169 0.750
9 In 0.831 0.663 0.750
10 In 0.663 0.831 0.250
11 Pr 0.333 0.667 0.926
12 Pr 0.667 0.333 0.426


The following is a PBE-GGA calculation of an optimized crystal structure of Mg5Ir, from the Alexandria database.

Properties
Formation energy from the elements = -0.127 eV/atom
Excess energy over the best structure of this formula in the dataset = 43 meV/atom
Size of the total moment = 0.00 μB per cell

Cell: 8.187 8.187 4.734 Å, 90.00 90.00 158.19°
Fractional coordinates of all 6 atoms:
1 Mg 0.545 0.455 0.500
2 Mg 0.897 0.103 0.500
3 Mg 0.643 0.357 0.000
4 Mg 0.226 0.774 0.500
5 Mg 0.357 0.643 0.000
6 Ir 0.998 0.002 0.000


The following is a PBE-GGA calculation of an optimized crystal structure of CaPSCl2, from the Alexandria database.

Properties
Energy relative to the elements, uncorrected = -3.6 eV per formula unit
Excess energy over the best structure of this formula in the dataset = 0 meV/atom
Size of the total moment = 0.00 μB per cell

Cell: 4.762 4.762 4.982 Å, 90.00 90.00 90.00°
Fractional coordinates of all 5 atoms:
1 Ca 0.500 0.500 0.500
2 S 0.000 0.000 0.500
3 Cl 0.500 0.000 0.000
4 Cl 0.000 0.500 0.000
5 P 0.000 0.000 0.000


The following is a PBE-GGA calculation of an optimized crystal structure of PrHo5ErSc2, from the Alexandria database.

Properties
Formation energy from the elements = 0.171 eV/atom
Size of the total moment = 0.00 μB per cell

Cell: 5.581 11.118 9.275 Å, 90.00 90.00 104.54°
Fractional coordinates of all 18 atoms:
1 Pr 0.816 0.631 0.517
2 Ho 0.008 0.016 0.017
3 Sc 0.887 0.773 0.825
4 Sc 0.861 0.722 0.196
5 Ho 0.266 0.532 0.333
6 Ho 0.532 0.064 0.249
7 Ho 0.468 0.936 0.749
8 Sc 0.113 0.227 0.325
9 Er 0.596 0.193 0.919
10 Ho 0.992 0.984 0.517
11 Ho 0.308 0.616 0.720
12 Ho 0.734 0.468 0.833
13 Er 0.404 0.807 0.419
14 Ho 0.692 0.384 0.220
15 Ho 0.393 0.786 0.048
16 Sc 0.139 0.278 0.696
17 Pr 0.184 0.369 0.017
18 Ho 0.607 0.214 0.548